Compound: RbAgBi
Source: the Alexandria database
Functional: PBE
Structure: optimized geometry

As for the energy above the most stable polymorph in this dataset: 0.18 eV/f.u. Its density of states at the Fermi level is 2.6 states/eV/cell. As for the calculated formation energy: -0.125 eV/atom. The total energy comes out at -2.69 eV/atom. The magnetization comes out at 0.001 Bohr magnetons per cell.

It has space group P-6m2 (No. 187), with a = 4.9045 Å, b = 4.9045 Å, c = 5.5712 Å, α = 90.00°, β = 90.00° and γ = 120.00°. The inequivalent atoms are Rb at (0.0000, 0.0000, 0.0000), Ag at (0.6667, 0.3333, 0.5000) and Bi at (0.3333, 0.6667, 0.5000).

Compound: Rb2Ag2Bi
Source: the Alexandria database
Functional: PBE
Structure: optimized geometry

As for the energy above the most stable polymorph in this dataset: 0.22 eV/f.u. Its density of states at the Fermi level is 3.4 states/eV/cell. As for the calculated formation energy: -0.022 eV/atom. The total energy comes out at -2.33 eV/atom. The magnetization comes out at 0.000 Bohr magnetons per cell.

It has space group I4/mmm (No. 139), with a = 3.9031 Å, b = 3.9031 Å, c = 23.2564 Å, α = 90.00°, β = 90.00° and γ = 90.00°. The inequivalent atoms are Rb at (0.0000, 0.0000, 0.1131), Ag at (0.0000, 0.5000, 0.2500) and Bi at (0.0000, 0.0000, 0.5000).

Compound: Rb12Ag5Bi3
Source: the Alexandria database
Functional: PBE
Structure: optimized geometry

Its density of states at the Fermi level is 137.2 states/eV/cell. As for the calculated formation energy: 0.000 eV/atom. The total energy comes out at -1.88 eV/atom. The magnetization comes out at 17.775 Bohr magnetons per cell.

It has space group Ia-3d (No. 230), with a = 21.3423 Å, b = 21.3423 Å, c = 21.3423 Å, α = 90.00°, β = 90.00° and γ = 90.00°. The inequivalent atoms are Rb at (0.0173, 0.0707, 0.6544), Ag at (0.0000, 0.0000, 0.0000), Ag at (0.0000, 0.2500, 0.3750) and Bi at (0.0000, 0.2500, 0.1250).

Compound: Rb6AgBi2
Source: the Alexandria database
Functional: PBE
Structure: optimized geometry

Its density of states at the Fermi level is 7.4 states/eV/cell. As for the calculated formation energy: -0.245 eV/atom. The total energy comes out at -2.07 eV/atom. The magnetization comes out at 0.819 Bohr magnetons per cell.

It has space group R-3m (No. 166, hexagonal axes), with a = 6.5141 Å, b = 6.5141 Å, c = 36.2154 Å, α = 90.00°, β = 90.00° and γ = 120.00°. The inequivalent atoms are Rb at (0.0000, 0.0000, 0.0762), Rb at (0.0000, 0.0000, 0.1980), Rb at (0.0000, 0.0000, 0.3113), Ag at (0.0000, 0.0000, 0.5000) and Bi at (0.0000, 0.0000, 0.4216).

Compound: RbAgBi
Source: the Alexandria database
Functional: PBE
Structure: optimized geometry

As for the energy above the most stable polymorph in this dataset: 0.00 eV/f.u. Its density of states at the Fermi level is 4.6 states/eV/cell. As for the calculated formation energy: -0.183 eV/atom. The total energy comes out at -2.75 eV/atom. The magnetization comes out at 0.000 Bohr magnetons per cell.

It has space group C2/m (No. 12), with a = 13.2361 Å, b = 4.8495 Å, c = 6.8505 Å, α = 90.00°, β = 95.25° and γ = 90.00°. The inequivalent atoms are Rb at (0.1174, 0.0000, 0.3554), Ag at (0.2092, 0.0000, 0.9133) and Bi at (0.0872, 0.5000, 0.8481).

Compound: RbAgBi
Source: the Alexandria database
Functional: PBE
Structure: optimized geometry

As for the energy above the most stable polymorph in this dataset: 0.34 eV/f.u. Its density of states at the Fermi level is 2.5 states/eV/cell. As for the calculated formation energy: -0.070 eV/atom. The total energy comes out at -2.64 eV/atom. The magnetization comes out at 0.000 Bohr magnetons per cell.

It has space group I4mm (No. 107), with a = 4.1224 Å, b = 4.1224 Å, c = 12.9599 Å, α = 90.00°, β = 90.00° and γ = 90.00°. The inequivalent atoms are Rb at (0.0000, 0.0000, 0.0000), Ag at (0.0000, 0.0000, 0.2695) and Bi at (0.0000, 0.0000, 0.7169).

Compound: Rb5AgBi2
Source: the Alexandria database
Functional: PBE
Structure: optimized geometry

Its density of states at the Fermi level is 12.9 states/eV/cell. As for the calculated formation energy: -0.322 eV/atom. The total energy comes out at -2.25 eV/atom. The magnetization comes out at 0.000 Bohr magnetons per cell.

It has space group R-3m (No. 166, hexagonal axes), with a = 6.3959 Å, b = 6.3959 Å, c = 30.7912 Å, α = 90.00°, β = 90.00° and γ = 120.00°. The inequivalent atoms are Rb at (0.0000, 0.0000, 0.0000), Rb at (0.0000, 0.0000, 0.1324), Rb at (0.0000, 0.0000, 0.2822), Ag at (0.0000, 0.0000, 0.5000) and Bi at (0.0000, 0.0000, 0.4091).

Compound: Rb2AgBi
Source: the Alexandria database
Functional: PBE
Structure: optimized geometry

Its density of states at the Fermi level is 6.9 states/eV/cell. As for the calculated formation energy: -0.089 eV/atom. The total energy comes out at -2.26 eV/atom. The magnetization comes out at 0.000 Bohr magnetons per cell.

It has space group I-42d (No. 122), with a = 13.6048 Å, b = 13.6048 Å, c = 5.3664 Å, α = 90.00°, β = 90.00° and γ = 90.00°. The inequivalent atoms are Rb at (0.0335, 0.2500, 0.1250), Ag at (0.0000, 0.0000, 0.0000) and Bi at (0.0000, 0.0000, 0.5000).